Entry 1:
First-principles (PBE-GGA) data for Hf8PdN2 after structural relaxation, as listed in the Alexandria database.

Energy relative to the elements, uncorrected (eV/atom): -0.31

Cell lengths 11.416, 8.661, 4.402 Å; angles 90.00, 93.28, 90.00 degrees
Space group C2/m (No. 12)
One atom of each set of equivalent atoms:
Hf 0.096 0.000 0.257 (multiplicity 4)
Hf 0.119 0.279 0.732 (multiplicity 8)
Hf 0.219 0.500 0.238 (multiplicity 4)
Pd 0.000 0.500 0.000 (multiplicity 2)
N 0.209 0.500 0.724 (multiplicity 4)

---

Entry 2:
First-principles (PBE-GGA) data for Hf5Pd2N2 after structural relaxation, as listed in the Alexandria database.

Energy relative to the elements, uncorrected (eV/atom): -0.97

Cell lengths 16.631, 6.311, 6.132 Å; angles 90.00, 90.00, 90.00 degrees
Space group Ima2 (No. 46)
One atom of each set of equivalent atoms:
Hf 0.015 0.246 0.000 (multiplicity 8)
Hf 0.138 0.561 0.769 (multiplicity 8)
Hf 0.250 0.129 0.861 (multiplicity 4)
Pd 0.109 0.518 0.244 (multiplicity 8)
N 0.000 0.000 0.252 (multiplicity 4)
N 0.250 0.073 0.202 (multiplicity 4)

---

Entry 3:
First-principles (PBE-GGA) data for HfPdN2 after structural relaxation, as listed in the Alexandria database.

Polymorph energy (0 for the lowest one) (meV/atom): 561
Energy relative to the elements, uncorrected (eV/atom): 0.05

Cell lengths 5.604, 5.604, 5.604 Å; angles 90.00, 90.00, 90.00 degrees
Space group Fm-3m (No. 225)
One atom of each set of equivalent atoms:
Hf 0.000 0.000 0.000 (multiplicity 4)
Pd 0.000 0.000 0.500 (multiplicity 4)
N 0.250 0.250 0.250 (multiplicity 8)

---

The M_tot results, record by record, are as follows: 0.000, 0.000, 0.000 μB/atom.